An optimized crystal structure of NaHfTe2. Source: the Alexandria database, functional PBE.

Unit cell a=7.0988 b=7.0988 c=7.9550 alpha=63.50 beta=63.50 gamma=90.00
Closest atoms and distances in Å follow each position.
Sites, in units of the cell vectors:
Na1 0.5000 0.5000 0.0000  4 Te 3.12
Na2 0.2500 0.7500 0.5000  4 Te 3.12
Te1 0.6641 0.1250 0.2500  2 Hf 2.79, 2 Na 3.12
Te2 0.0859 0.6250 0.2500  2 Hf 2.79, 2 Na 3.12
Te3 0.3750 0.3359 0.7500  2 Hf 2.79, 2 Na 3.12
Te4 0.8750 0.9141 0.7500  2 Hf 2.79, 2 Na 3.12
Hf1 0.0000 0.0000 0.0000  4 Te 2.79
Hf2 0.7500 0.2500 0.5000  4 Te 2.79

Results
As for the uncorrected energy: -19.560 eV/f.u. The calculation puts the total magnetic moment at 2.0 μB/cell. As for the space group: I-42d. The value obtained for the formation energy from raw total energies is -0.50 eV per atom.